[1]
Material: GdAlPd
Method: DFT, PBE
State: relaxed

Computed properties:
energy of formation: 4 meV/atom
total moment: 7.20 Bohr magnetons per cell
final energy: -23.00 eV per formula unit
D(E_F): 2.17 states/eV/f.u.
calculated volume: 80.8 Å³/cell

Cell lengths 7.4577, 7.4577, 7.4577 Å; angles 153.78, 153.78, 37.41 degrees
Fractional positions:
Gd1 0.0000 0.0000 0.0000
Al1 0.7815 0.7815 0.0000
Pd1 0.6091 0.6091 0.0000

---

[2]
Material: GdAl3Pd2
Method: DFT, PBE
State: relaxed

Computed properties:
energy of formation: -840 meV/atom
total moment: 7.04 Bohr magnetons per cell
final energy: -40.74 eV per formula unit
D(E_F): 3.66 states/eV/f.u.
calculated volume: 107.7 Å³/cell

Cell lengths 5.4332, 5.4332, 4.2118 Å; angles 90.00, 90.00, 120.00 degrees
Fractional positions:
Gd1 0.0000 0.0000 0.0000
Al1 0.0000 0.5000 0.5000
Al2 0.5000 0.0000 0.5000
Al3 0.5000 0.5000 0.5000
Pd1 0.3333 0.6667 0.0000
Pd2 0.6667 0.3333 0.0000

---

[3]
Material: Gd2AlPd
Method: DFT, PBE
State: relaxed

Computed properties:
energy of formation: -606 meV/atom
total moment: 14.19 Bohr magnetons per cell
final energy: -39.52 eV per formula unit
D(E_F): 2.56 states/eV/f.u.
calculated volume: 92.6 Å³/cell

Cell lengths 3.6186, 3.6186, 7.0708 Å; angles 90.00, 90.00, 90.00 degrees
Fractional positions:
Gd1 0.0000 0.0000 0.2407
Gd2 0.0000 0.0000 0.7593
Al1 0.5000 0.5000 0.5000
Pd1 0.5000 0.5000 0.0000

---

[4]
Material: GdAl2Pd
Method: DFT, PBE
State: relaxed

Computed properties:
energy of formation: -635 meV/atom
total moment: 7.38 Bohr magnetons per cell
final energy: -29.30 eV per formula unit
D(E_F): 1.69 states/eV/f.u.
calculated volume: 75.2 Å³/cell

Cell lengths 3.2027, 3.2027, 7.3312 Å; angles 90.00, 90.00, 90.00 degrees
Fractional positions:
Gd1 0.0000 0.0000 0.0000
Al1 0.5000 0.5000 0.3049
Al2 0.5000 0.5000 0.6951
Pd1 0.0000 0.0000 0.5000

---

[5]
Material: GdAlPd2
Method: DFT, PBE
State: relaxed

Computed properties:
energy of formation: -776 meV/atom
total moment: 7.22 Bohr magnetons per cell
final energy: -31.31 eV per formula unit
D(E_F): 2.56 states/eV/f.u.
calculated volume: 71.9 Å³/cell

Cell lengths 3.1516, 3.1516, 7.2360 Å; angles 90.00, 90.00, 90.00 degrees
Fractional positions:
Gd1 0.0000 0.0000 0.0000
Al1 0.0000 0.0000 0.5000
Pd1 0.5000 0.5000 0.2994
Pd2 0.5000 0.5000 0.7006

---

[6]
Material: GdAlPd
Method: DFT, PBE
State: relaxed

Computed properties:
energy of formation: -760 meV/atom
total moment: 7.13 Bohr magnetons per cell
final energy: -25.30 eV per formula unit
D(E_F): 2.13 states/eV/f.u.
calculated volume: 64.3 Å³/cell

Cell lengths 4.4378, 4.4378, 3.7675 Å; angles 90.00, 90.00, 120.00 degrees
Fractional positions:
Gd1 0.0000 0.0000 0.0000
Al1 0.3333 0.6667 0.5000
Pd1 0.6667 0.3333 0.5000

---

[7]
Material: GdAlPd2
Method: DFT, PBE
State: relaxed

Computed properties:
energy of formation: -708 meV/atom
total moment: 7.16 Bohr magnetons per cell
final energy: -31.04 eV per formula unit
D(E_F): 2.29 states/eV/f.u.
calculated volume: 74.2 Å³/cell

Cell lengths 4.6508, 4.6508, 3.4323 Å; angles 90.00, 90.00, 90.00 degrees
Fractional positions:
Gd1 0.0000 0.0000 0.0000
Al1 0.5000 0.5000 0.0000
Pd1 0.0000 0.5000 0.5000
Pd2 0.5000 0.0000 0.5000

---

[8]
Material: GdAl2Pd
Method: DFT, PBE
State: relaxed

Computed properties:
energy of formation: -669 meV/atom
total moment: 7.17 Bohr magnetons per cell
final energy: -29.43 eV per formula unit
D(E_F): 2.95 states/eV/f.u.
calculated volume: 81.8 Å³/cell

Cell lengths 5.7356, 5.7356, 5.7356 Å; angles 43.71, 43.71, 43.71 degrees
Fractional positions:
Gd1 0.0000 0.0000 0.0000
Al1 0.2100 0.2100 0.2100
Al2 0.7900 0.7900 0.7900
Pd1 0.5000 0.5000 0.5000

---

Question: Which value of energy of formation does entry 1 give?
Answer: 4 meV/atom

---

Question: Which value of total moment does entry 6 give?
Answer: 7.13 Bohr magnetons per cell